Record 1
Zn5Cu6Ge: optimized geometry, PBE.

Properties
Energy of formation from the pure elements: -0.60 eV/f.u.
SG: P2/m (10)

a b c (Å): 4.568 5.420 6.614
angles (deg): 90.00 103.51 90.00
Fractional coordinates of all 12 atoms:
1 Zn 0.000 0.000 0.000
2 Zn 0.240 0.000 0.664
3 Zn 0.240 0.500 0.658
4 Zn 0.760 0.000 0.336
5 Zn 0.760 0.500 0.342
6 Cu 0.270 0.247 0.329
7 Cu 0.270 0.753 0.329
8 Cu 0.500 0.250 0.000
9 Cu 0.500 0.750 0.000
10 Cu 0.730 0.247 0.671
11 Cu 0.730 0.753 0.671
12 Ge 0.000 0.500 0.000

Record 2
Y2TaSi: optimized geometry, PBE.

Properties
SG: Amm2 (38)
Energy relative to the elements, uncorrected: -0.175 eV per atom

a b c (Å): 4.240 4.036 11.227
angles (deg): 90.00 90.00 90.00
Fractional coordinates of all 8 atoms:
1 Y 0.000 0.000 0.000
2 Y 0.000 0.500 0.500
3 Y 0.500 0.000 0.297
4 Y 0.500 0.500 0.797
5 Ta 0.000 0.000 0.712
6 Ta 0.000 0.500 0.212
7 Si 0.500 0.000 0.582
8 Si 0.500 0.500 0.082

Record 3
NaBiF3: optimized geometry, PBE.

Properties
SG: Pm-3m (221)
E above lowest polymorph: 290.7 meV per atom
Energy relative to the elements, uncorrected: -1.868 eV per atom

a b c (Å): 4.159 4.159 4.159
angles (deg): 90.00 90.00 90.00
Fractional coordinates of all 5 atoms:
1 Na 0.000 0.000 0.000
2 Bi 0.500 0.500 0.500
3 F 0.000 0.000 0.500
4 F 0.000 0.500 0.000
5 F 0.500 0.000 0.000

Computed calculated total energy (eV per atom) in order:
-3.014 -7.726 -4.031